Crystalline CsMo2AsO8 at its relaxed geometry, computed with GGA+U.

For the total energy, the calculation gives -155.97 eV for the cell shown. For the density of states at the Fermi level, the calculation gives 0.00 states/eV per cell.

The structure belongs to space group C2/m (No. 12); the cell edges are 9.533, 5.950 and 8.766 Å and the angles 90.00°, 93.91° and 90.00°. The inequivalent atoms are Cs at (0.000, 0.000, 0.000), Mo at (0.132, 0.500, 0.307), As at (0.000, 0.000, 0.500), O at (0.026, 0.249, 0.330), O at (0.185, 0.500, 0.119) and O at (0.217, 0.000, 0.558).